An optimized crystal structure of GdCoH, computed with GGA-PBE.

```
GdCoH
1.0
-0.771 3.057 1.726
-3.354 -1.261 0.736
2.743 -0.627 2.337
H Gd Co
1 1 1
direct
0.167 0.667 0.333
0.666 0.333 0.667
0.167 0.000 0.000
```

Total energy in eV per cell: -24.4
Volume in Å³ per atom: 13.88